Entry 1:
Material: Ho3Si12Ru4
Method: DFT, PBE-GGA
State: relaxed

Calculated values
VASP energy in eV/atom: -6.7459
Calculated density in g/cm³: 6.723
Symmetry: Cmce (64)
Formation energy from raw total energies in meV/atom: -645
D(E_F) in states/eV/cell: 9.626
Size of the total moment in μB per cell: 0.000

```
data_Ho3Si12Ru4
_chemical_formula_sum 'Ho6 Si24 Ru8'
_cell_length_a 10.107
_cell_length_b 10.107
_cell_length_c 8.125
_cell_angle_alpha 90.00
_cell_angle_beta 90.00
_cell_angle_gamma 132.63
_symmetry_space_group_name_H-M 'P 1'
_symmetry_Int_Tables_number 1
loop_
_symmetry_equiv_pos_as_xyz
'x,y,z'
loop_
_atom_site_label
_atom_site_type_symbol
_atom_site_fract_x
_atom_site_fract_y
_atom_site_fract_z
_atom_site_occupancy
Ho1 Ho 0.500 0.500 0.500 1
Ho2 Ho 0.000 0.000 0.000 1
Ho3 Ho 0.503 0.003 0.750 1
Ho4 Ho 0.997 0.497 0.250 1
Ho5 Ho 0.497 0.997 0.250 1
Ho6 Ho 0.003 0.503 0.750 1
Si1 Si 0.795 0.205 0.500 1
Si2 Si 0.295 0.705 0.000 1
Si3 Si 0.205 0.795 0.500 1
Si4 Si 0.705 0.295 0.000 1
Si5 Si 0.333 0.333 0.833 1
Si6 Si 0.667 0.667 0.167 1
Si7 Si 0.167 0.167 0.333 1
Si8 Si 0.833 0.833 0.667 1
Si9 Si 0.122 0.887 0.728 1
Si10 Si 0.113 0.878 0.272 1
Si11 Si 0.613 0.378 0.228 1
Si12 Si 0.622 0.387 0.772 1
Si13 Si 0.878 0.113 0.272 1
Si14 Si 0.887 0.122 0.728 1
Si15 Si 0.387 0.622 0.772 1
Si16 Si 0.378 0.613 0.228 1
Si17 Si 0.346 0.111 0.506 1
Si18 Si 0.889 0.654 0.494 1
Si19 Si 0.389 0.154 0.006 1
Si20 Si 0.846 0.611 0.994 1
Si21 Si 0.654 0.889 0.494 1
Si22 Si 0.111 0.346 0.506 1
Si23 Si 0.611 0.846 0.994 1
Si24 Si 0.154 0.389 0.006 1
Ru1 Ru 0.669 0.331 0.500 1
Ru2 Ru 0.169 0.831 0.000 1
Ru3 Ru 0.331 0.669 0.500 1
Ru4 Ru 0.831 0.169 0.000 1
Ru5 Ru 0.127 0.127 0.627 1
Ru6 Ru 0.873 0.873 0.373 1
Ru7 Ru 0.373 0.373 0.127 1
Ru8 Ru 0.627 0.627 0.873 1
```

---

Entry 2:
Material: SrTmMg2Ag4
Method: DFT, PBE-GGA
State: relaxed

Calculated values
VASP energy in eV/atom: -2.8477
Calculated density in g/cm³: 6.471
ΔH_f (0 K) in eV per formula unit: -2.03
Symmetry: R-3m (166)
D(E_F) in states/eV/cell: 4.761
Size of the total moment in μB per cell: 0.000

```
data_SrTmMg2Ag4
_chemical_formula_sum 'Sr1 Tm1 Mg2 Ag4'
_cell_length_a 4.812
_cell_length_b 4.812
_cell_length_c 9.826
_cell_angle_alpha 75.82
_cell_angle_beta 75.82
_cell_angle_gamma 60.00
_symmetry_space_group_name_H-M 'P 1'
_symmetry_Int_Tables_number 1
loop_
_symmetry_equiv_pos_as_xyz
'x,y,z'
loop_
_atom_site_label
_atom_site_type_symbol
_atom_site_fract_x
_atom_site_fract_y
_atom_site_fract_z
_atom_site_occupancy
Sr1 Sr 0.000 0.000 0.000 1
Tm1 Tm 0.500 0.500 0.500 1
Mg1 Mg 0.761 0.761 0.718 1
Mg2 Mg 0.239 0.239 0.282 1
Ag1 Ag 0.398 0.398 0.807 1
Ag2 Ag 0.880 0.880 0.360 1
Ag3 Ag 0.120 0.120 0.640 1
Ag4 Ag 0.602 0.602 0.193 1
```

---

Entry 3:
Material: Hf6In3Te
Method: DFT, PBE-GGA
State: relaxed

Calculated values
VASP energy in eV/atom: -7.1422
Calculated density in g/cm³: 10.974
Symmetry: Cmc2_1 (36)
Formation energy from raw total energies in meV/atom: -34
D(E_F) in states/eV/cell: 12.525
Size of the total moment in μB per cell: 0.000

```
data_Hf6In3Te
_chemical_formula_sum 'Hf12 In6 Te2'
_cell_length_a 7.589
_cell_length_b 8.452
_cell_length_c 8.452
_cell_angle_alpha 120.55
_cell_angle_beta 90.00
_cell_angle_gamma 90.00
_symmetry_space_group_name_H-M 'P 1'
_symmetry_Int_Tables_number 1
loop_
_symmetry_equiv_pos_as_xyz
'x,y,z'
loop_
_atom_site_label
_atom_site_type_symbol
_atom_site_fract_x
_atom_site_fract_y
_atom_site_fract_z
_atom_site_occupancy
Hf1 Hf 0.098 0.836 0.704 1
Hf2 Hf 0.598 0.704 0.836 1
Hf3 Hf 0.301 0.503 0.897 1
Hf4 Hf 0.801 0.897 0.503 1
Hf5 Hf 0.292 0.948 0.052 1
Hf6 Hf 0.637 0.299 0.701 1
Hf7 Hf 0.137 0.701 0.299 1
Hf8 Hf 0.792 0.052 0.948 1
Hf9 Hf 0.301 0.103 0.497 1
Hf10 Hf 0.801 0.497 0.103 1
Hf11 Hf 0.098 0.296 0.164 1
Hf12 Hf 0.598 0.164 0.296 1
In1 In 0.460 0.939 0.697 1
In2 In 0.960 0.697 0.939 1
In3 In 0.324 0.486 0.514 1
In4 In 0.824 0.514 0.486 1
In5 In 0.960 0.061 0.303 1
In6 In 0.460 0.303 0.061 1
Te1 Te 0.013 0.220 0.780 1
Te2 Te 0.513 0.780 0.220 1
```

---

Entry 4:
Material: TlP2Se2
Method: DFT, PBE-GGA
State: relaxed

Calculated values
VASP energy in eV/atom: -3.7827
Calculated density in g/cm³: 6.232
Symmetry: I4/mmm (139)
Formation energy from raw total energies in meV/atom: 248
Relative energy among the computed polymorphs in meV per atom: 113
D(E_F) in states/eV/cell: 1.899
Size of the total moment in μB per cell: 0.000

```
data_TlP2Se2
_chemical_formula_sum 'Tl1 P2 Se2'
_cell_length_a 5.235
_cell_length_b 5.235
_cell_length_c 5.543
_cell_angle_alpha 61.82
_cell_angle_beta 61.82
_cell_angle_gamma 90.00
_symmetry_space_group_name_H-M 'P 1'
_symmetry_Int_Tables_number 1
loop_
_symmetry_equiv_pos_as_xyz
'x,y,z'
loop_
_atom_site_label
_atom_site_type_symbol
_atom_site_fract_x
_atom_site_fract_y
_atom_site_fract_z
_atom_site_occupancy
P1 P 0.364 0.364 0.273 1
P2 P 0.636 0.636 0.727 1
Tl1 Tl 0.000 0.000 0.000 1
Se1 Se 0.750 0.250 0.500 1
Se2 Se 0.250 0.750 0.500 1
```

---

Repeat the first record exactly.
Material: Ho3Si12Ru4
Method: DFT, PBE-GGA
State: relaxed

Calculated values
VASP energy in eV/atom: -6.7459
Calculated density in g/cm³: 6.723
Symmetry: Cmce (64)
Formation energy from raw total energies in meV/atom: -645
D(E_F) in states/eV/cell: 9.626
Size of the total moment in μB per cell: 0.000

```
data_Ho3Si12Ru4
_chemical_formula_sum 'Ho6 Si24 Ru8'
_cell_length_a 10.107
_cell_length_b 10.107
_cell_length_c 8.125
_cell_angle_alpha 90.00
_cell_angle_beta 90.00
_cell_angle_gamma 132.63
_symmetry_space_group_name_H-M 'P 1'
_symmetry_Int_Tables_number 1
loop_
_symmetry_equiv_pos_as_xyz
'x,y,z'
loop_
_atom_site_label
_atom_site_type_symbol
_atom_site_fract_x
_atom_site_fract_y
_atom_site_fract_z
_atom_site_occupancy
Ho1 Ho 0.500 0.500 0.500 1
Ho2 Ho 0.000 0.000 0.000 1
Ho3 Ho 0.503 0.003 0.750 1
Ho4 Ho 0.997 0.497 0.250 1
Ho5 Ho 0.497 0.997 0.250 1
Ho6 Ho 0.003 0.503 0.750 1
Si1 Si 0.795 0.205 0.500 1
Si2 Si 0.295 0.705 0.000 1
Si3 Si 0.205 0.795 0.500 1
Si4 Si 0.705 0.295 0.000 1
Si5 Si 0.333 0.333 0.833 1
Si6 Si 0.667 0.667 0.167 1
Si7 Si 0.167 0.167 0.333 1
Si8 Si 0.833 0.833 0.667 1
Si9 Si 0.122 0.887 0.728 1
Si10 Si 0.113 0.878 0.272 1
Si11 Si 0.613 0.378 0.228 1
Si12 Si 0.622 0.387 0.772 1
Si13 Si 0.878 0.113 0.272 1
Si14 Si 0.887 0.122 0.728 1
Si15 Si 0.387 0.622 0.772 1
Si16 Si 0.378 0.613 0.228 1
Si17 Si 0.346 0.111 0.506 1
Si18 Si 0.889 0.654 0.494 1
Si19 Si 0.389 0.154 0.006 1
Si20 Si 0.846 0.611 0.994 1
Si21 Si 0.654 0.889 0.494 1
Si22 Si 0.111 0.346 0.506 1
Si23 Si 0.611 0.846 0.994 1
Si24 Si 0.154 0.389 0.006 1
Ru1 Ru 0.669 0.331 0.500 1
Ru2 Ru 0.169 0.831 0.000 1
Ru3 Ru 0.331 0.669 0.500 1
Ru4 Ru 0.831 0.169 0.000 1
Ru5 Ru 0.127 0.127 0.627 1
Ru6 Ru 0.873 0.873 0.373 1
Ru7 Ru 0.373 0.373 0.127 1
Ru8 Ru 0.627 0.627 0.873 1
```